--- 1 ---
DFT (PBE-GGA) results for crystalline Nd6Si2Ge at its relaxed geometry.

a b c (Å): 6.309 8.306 10.060
angles (deg): 90.00 89.79 90.00
Positions (direct):
Si  0.574  0.880  0.751
Si  0.926  0.380  0.749
Si  0.426  0.120  0.249
Si  0.074  0.620  0.251
Nd  0.624  0.179  0.562
Nd  0.131  0.040  0.770
Nd  0.376  0.821  0.438
Nd  0.861  0.670  0.561
Nd  0.124  0.321  0.062
Nd  0.139  0.330  0.439
Nd  0.631  0.460  0.270
Nd  0.639  0.170  0.939
Nd  0.369  0.540  0.730
Nd  0.869  0.960  0.230
Nd  0.361  0.830  0.061
Nd  0.876  0.679  0.938
Ge  0.500  0.500  0.000
Ge  0.000  0.000  0.500

## Properties
Size of the total moment   0.000 μB per atom

--- 2 ---
DFT (PBE-GGA) results for crystalline Nd6Si2Ge at its relaxed geometry.

a b c (Å): 8.701 8.701 8.701
angles (deg): 106.89 109.73 111.83
Positions (direct):
Nd  0.710  0.034  0.324
Nd  0.200  0.244  0.443
Nd  0.710  0.386  0.676
Nd  0.550  0.731  0.819
Nd  0.450  0.269  0.181
Nd  0.800  0.244  0.044
Nd  0.088  0.269  0.819
Nd  0.290  0.966  0.676
Nd  0.912  0.731  0.181
Nd  0.200  0.756  0.956
Nd  0.800  0.756  0.557
Nd  0.290  0.614  0.324
Ge  0.000  0.500  0.500
Ge  0.000  0.000  0.000
Si  0.500  0.386  0.886
Si  0.500  0.614  0.114
Si  0.376  0.000  0.376
Si  0.624  0.000  0.624

## Properties
Size of the total moment   0.000 μB per atom

Stability summary - winner: 2; margin: 0.096 eV/atom.

--- 1 ---
DFT (PBE-GGA) results for crystalline Nd2SmGe2 at its relaxed geometry.

a b c (Å): 4.382 7.830 7.830
angles (deg): 90.00 90.00 90.00
Positions (direct):
Ge  0.000  0.880  0.620
Ge  0.000  0.380  0.880
Ge  0.000  0.120  0.380
Ge  0.000  0.620  0.120
Nd  0.500  0.674  0.826
Nd  0.500  0.826  0.326
Nd  0.500  0.326  0.174
Nd  0.500  0.174  0.674
Sm  0.000  0.000  0.000
Sm  0.000  0.500  0.500

## Properties
Size of the total moment   0.000 μB per atom

--- 2 ---
DFT (PBE-GGA) results for crystalline Nd2SmGe2 at its relaxed geometry.

a b c (Å): 4.481 6.678 10.073
angles (deg): 77.85 77.15 70.40
Positions (direct):
Nd  0.680  0.727  0.913
Nd  0.485  0.344  0.687
Nd  0.320  0.273  0.087
Nd  0.515  0.656  0.313
Sm  0.219  0.920  0.642
Sm  0.781  0.080  0.358
Ge  0.115  0.332  0.438
Ge  0.885  0.668  0.562
Ge  0.974  0.157  0.895
Ge  0.026  0.843  0.105

## Properties
Size of the total moment   0.000 μB per atom

Stability summary - winner: 1; margin: 0.078 eV/atom.

--- 1 ---
DFT (PBE-GGA) results for crystalline NdSm2Ge at its relaxed geometry.

a b c (Å): 3.887 3.887 10.047
angles (deg): 78.85 78.85 60.00
Positions (direct):
Sm  0.064  0.064  0.808
Sm  0.269  0.269  0.193
Nd  0.501  0.501  0.498
Ge  0.666  0.666  0.001

## Properties
Size of the total moment   0.000 μB per atom

--- 2 ---
DFT (PBE-GGA) results for crystalline NdSm2Ge at its relaxed geometry.

a b c (Å): 3.825 3.825 10.260
angles (deg): 79.26 79.26 60.00
Positions (direct):
Nd  0.500  0.500  0.500
Sm  0.731  0.731  0.806
Sm  0.269  0.269  0.194
Ge  0.000  0.000  0.000

## Properties
Size of the total moment   0.000 μB per atom

--- 3 ---
DFT (PBE-GGA) results for crystalline NdSm2Ge at its relaxed geometry.

a b c (Å): 3.946 3.946 7.329
angles (deg): 90.00 90.00 90.00
Positions (direct):
Nd  0.500  0.500  0.000
Sm  0.000  0.000  0.702
Sm  0.000  0.000  0.298
Ge  0.500  0.500  0.500

## Properties
Size of the total moment   0.000 μB per atom

Stability summary - winner: 3; margin: 0.072 eV/atom.

--- 1 ---
DFT (PBE-GGA) results for crystalline NdSm2Ge at its relaxed geometry.

a b c (Å): 6.457 7.899 9.383
angles (deg): 90.00 90.00 90.00
Positions (direct):
Sm  0.130  0.688  0.054
Sm  0.870  0.312  0.946
Sm  0.630  0.812  0.946
Sm  0.870  0.312  0.554
Sm  0.370  0.188  0.446
Sm  0.370  0.188  0.054
Sm  0.630  0.812  0.554
Sm  0.130  0.688  0.446
Nd  0.868  0.030  0.250
Nd  0.632  0.530  0.250
Nd  0.368  0.470  0.750
Nd  0.132  0.970  0.750
Ge  0.078  0.382  0.250
Ge  0.578  0.118  0.750
Ge  0.922  0.618  0.750
Ge  0.422  0.882  0.250

## Properties
Size of the total moment   0.000 μB per atom

--- 2 ---
DFT (PBE-GGA) results for crystalline NdSm2Ge at its relaxed geometry.

a b c (Å): 4.757 4.784 4.784
angles (deg): 90.00 90.00 90.00
Positions (direct):
Sm  0.000  0.000  0.500
Sm  0.000  0.500  0.000
Ge  0.500  0.000  0.000
Nd  0.500  0.500  0.500

## Properties
Size of the total moment   0.000 μB per atom

Stability summary - winner: 1; margin: 0.106 eV/atom.